[1]
A relaxed structure of DyAg2Pt6, computed with PBE-GGA.

Lattice parameters (Å, degrees): 8.9863 8.9863 8.9863 90.00 90.00 90.00
Space group Fm-3m (No. 225)
One atom of each set of equivalent atoms:
Dy: 0.0000 0.0000 0.0000 [4 per cell]
Ag: 0.2500 0.2500 0.2500 [8 per cell]
Pt: 0.0000 0.0000 0.2890 [24 per cell]



[2]
A relaxed structure of Dy4Ag2Pt, computed with PBE-GGA.

Lattice parameters (Å, degrees): 5.0282 5.0282 24.7441 90.00 90.00 120.00
Space group R-3m (No. 166, hexagonal axes)
One atom of each set of equivalent atoms:
Dy: 0.0000 0.0000 0.1224 [6 per cell]
Dy: 0.0000 0.0000 0.3725 [6 per cell]
Ag: 0.0000 0.0000 0.2456 [6 per cell]
Pt: 0.0000 0.0000 0.0000 [3 per cell]



| no. | M_tot (μB per formula unit) | E_tot (eV/cell) | DFT formation energy (meV per atom) |
| --- | --- | --- | --- |
| 1 | 0.0 | -175.5 | 296.8 |
| 2 | 0.0 | -99.8 | -445.8 |